This record from Alexandria describes ZnIn4 after structural relaxation. The functional is PBEsol.

Unit cell a=7.3120 b=7.3120 c=4.3352 alpha=90.00 beta=90.00 gamma=90.00
Space group I4/m (No. 87)
Asymmetric unit:
Zn 0.0000 0.0000 0.0000 (multiplicity 2)
In 0.0973 0.2907 0.5000 (multiplicity 8)

Computed properties:
DFT total energy   -2.6301 eV/atom
Formation enthalpy at 0 K   0.4 eV/f.u.
DOS(E_F)   4.296 states/eV/cell